## Li8TcO6 (PBE)

Data for crystalline Li8TcO6 at its relaxed geometry.

Cell lengths 5.9214, 5.9214, 5.9214 Å; angles 54.27, 54.27, 54.27 degrees
Closest atoms and distances in Å follow each position.
Atoms (fractional coordinates):
1 Li 0.0127 0.3962 0.7341  4 O 1.87-2.03
2 Li 0.1597 0.1597 0.1597  6 O 2.13-2.31
3 Li 0.2659 0.9873 0.6038  4 O 1.87-2.03
4 Li 0.3962 0.7341 0.0127  4 O 1.87-2.03
5 Li 0.6038 0.2659 0.9873  4 O 1.87-2.03
6 Li 0.7341 0.0127 0.3962  4 O 1.87-2.03
7 Li 0.8403 0.8403 0.8403  6 O 2.13-2.31
8 Li 0.9873 0.6038 0.2659  4 O 1.87-2.03
9 Tc 0.5000 0.5000 0.5000  6 O 2.07
10 O 0.1142 0.7357 0.4110  4 Li 1.87-2.03, 1 Tc 2.07
11 O 0.2643 0.5890 0.8858  4 Li 1.87-2.03, 1 Tc 2.07
12 O 0.4110 0.1142 0.7357  4 Li 1.87-2.03, 1 Tc 2.07
13 O 0.5890 0.8858 0.2643  4 Li 1.87-2.03, 1 Tc 2.07
14 O 0.7357 0.4110 0.1142  4 Li 1.87-2.03, 1 Tc 2.07
15 O 0.8858 0.2643 0.5890  4 Li 1.87-2.03, 1 Tc 2.07

Output
Crystal system   trigonal
VASP energy   -5.4799 eV/atom
Magnetic moment   3.00 μB/f.u.

=====

## Li4Tc2O5 (PBE)

Data for crystalline Li4Tc2O5 at its relaxed geometry.

Cell lengths 6.4450, 6.4450, 4.0889 Å; angles 90.00, 90.00, 142.75 degrees
Closest atoms and distances in Å follow each position.
Atoms (fractional coordinates):
1 Li 0.0000 0.0000 0.0000  2 O 1.83
2 Li 0.1774 0.8226 0.5000  5 O 1.97-2.07
3 Li 0.5000 0.5000 0.5000  4 O 1.97-2.04
4 Li 0.8226 0.1774 0.5000  5 O 1.97-2.07
5 Tc 0.3249 0.6751 0.0000  6 O 2.05-2.14
6 Tc 0.6751 0.3249 0.0000  6 O 2.05-2.14
7 O 0.1501 0.8499 0.0000  1 Li 1.83
8 O 0.3389 0.6611 0.5000  4 Li 1.97-2.07, 2 Tc 2.05
9 O 0.5000 0.5000 0.0000  4 Li 2.04-2.06, 2 Tc 2.14
10 O 0.6611 0.3389 0.5000  4 Li 1.97-2.07, 2 Tc 2.05
11 O 0.8499 0.1501 0.0000  1 Li 1.83

Output
Crystal system   orthorhombic
VASP energy   -6.2603 eV/atom
Magnetic moment   0.47 μB/f.u.

=====

## LiTcO3 (PBE)

Data for crystalline LiTcO3 at its relaxed geometry.

Cell lengths 5.4438, 5.4438, 5.4438 Å; angles 56.54, 56.54, 56.54 degrees
Closest atoms and distances in Å follow each position.
Atoms (fractional coordinates):
1 Li 0.1391 0.1391 0.1391  6 O 2.07-2.25
2 Li 0.8609 0.8609 0.8609  6 O 2.07-2.25
3 Tc 0.3431 0.3431 0.3431  6 O 1.93-1.99
4 Tc 0.6569 0.6569 0.6569  6 O 1.93-1.99
5 O 0.0664 0.7178 0.4499  2 Tc 1.93-1.99, 1 Li 2.07
6 O 0.2822 0.5501 0.9336  2 Tc 1.93-1.99, 1 Li 2.07
7 O 0.4499 0.0664 0.7178  2 Tc 1.93-1.99, 1 Li 2.07
8 O 0.5501 0.9336 0.2822  2 Tc 1.93-1.99, 1 Li 2.07
9 O 0.7178 0.4499 0.0664  2 Tc 1.93-1.99, 1 Li 2.07
10 O 0.9336 0.2822 0.5501  2 Tc 1.93-1.99, 1 Li 2.07

Output
Crystal system   trigonal
VASP energy   -6.9423 eV/atom
Magnetic moment   1.00 μB/f.u.